(1)
PBE SmTlFe, relaxed; total energy = -14.55 eV per formula unit
1.0
0.0000 3.3384 3.3384
3.3384 0.0000 3.3384
3.3384 3.3384 0.0000
Sm Tl Fe
1 1 1
direct
0.0000 0.0000 0.0000 Sm
0.5000 0.5000 0.5000 Tl
0.2500 0.2500 0.2500 Fe

(2)
PBE BaTbNO, relaxed; polymorph energy (0 for the lowest one) = 2 meV/atom
1.0
4.0085 0.0000 0.0000
0.0000 7.1370 0.0000
0.0000 0.0000 6.1428
Ba Tb N O
2 2 2 2
direct
0.0000 0.1781 0.0000 Ba
0.0000 0.8219 0.5000 Ba
0.5000 0.3435 0.5044 Tb
0.5000 0.6565 0.0044 Tb
0.5000 0.3715 0.8616 N
0.5000 0.6285 0.3616 N
0.0000 0.1996 0.4393 O
0.0000 0.8004 0.9393 O

(3)
PBE LaAgAs2, relaxed; total energy = -20.41 eV per formula unit
1.0
5.8753 0.0000 0.0000
0.0000 21.3051 0.0000
0.0000 0.0000 5.8453
La Ag As
8 8 16
direct
0.0139 0.1143 0.2500 La
0.0139 0.3857 0.7500 La
0.4838 0.6191 0.7500 La
0.4838 0.8809 0.2500 La
0.5162 0.1191 0.7500 La
0.5162 0.3809 0.2500 La
0.9861 0.6143 0.2500 La
0.9861 0.8857 0.7500 La
0.2317 0.7500 0.0000 Ag
0.2317 0.7500 0.5000 Ag
0.2650 0.2500 0.0000 Ag
0.2650 0.2500 0.5000 Ag
0.7350 0.7500 0.0000 Ag
0.7350 0.7500 0.5000 Ag
0.7683 0.2500 0.0000 Ag
0.7683 0.2500 0.5000 Ag
0.0165 0.1625 0.7500 As
0.0165 0.3375 0.2500 As
0.2807 0.0013 0.5315 As
0.2807 0.0013 0.9685 As
0.2807 0.4987 0.0315 As
0.2807 0.4987 0.4685 As
0.4840 0.6634 0.2500 As
0.4840 0.8366 0.7500 As
0.5160 0.1634 0.2500 As
0.5160 0.3366 0.7500 As
0.7193 0.5013 0.5315 As
0.7193 0.5013 0.9685 As
0.7193 0.9987 0.0315 As
0.7193 0.9987 0.4685 As
0.9835 0.6625 0.7500 As
0.9835 0.8375 0.2500 As

(4)
PBE AcPuMo, relaxed; polymorph energy (0 for the lowest one) = 1284 meV/atom; calculated formation energy = 6.06 eV per formula unit
1.0
0.0000 3.3639 3.3639
3.3639 0.0000 3.3639
3.3639 3.3639 0.0000
Ac Pu Mo
1 1 1
direct
0.0000 0.0000 0.0000 Ac
0.2500 0.2500 0.2500 Pu
0.7500 0.7500 0.7500 Mo

(5)
PBE LiZnCoPd, relaxed; polymorph energy (0 for the lowest one) = 3 meV/atom
1.0
0.0000 2.9613 2.9613
2.9613 0.0000 2.9613
2.9613 2.9613 0.0000
Li Zn Co Pd
1 1 1 1
direct
0.0000 0.0000 0.0000 Li
0.2500 0.2500 0.2500 Zn
0.5000 0.5000 0.5000 Co
0.7500 0.7500 0.7500 Pd

(6)
PBE NaDyCdS3, relaxed; polymorph energy (0 for the lowest one) = 18 meV/atom
1.0
12.1528 0.0000 0.0000
0.0000 4.0029 0.0000
0.0000 0.0000 11.6110
Na Dy Cd S
4 4 4 12
direct
0.1236 0.2500 0.0084 Na
0.3764 0.7500 0.5084 Na
0.6236 0.2500 0.4916 Na
0.8764 0.7500 0.9916 Na
0.0480 0.2500 0.6657 Dy
0.4520 0.7500 0.1657 Dy
0.5480 0.2500 0.8343 Dy
0.9520 0.7500 0.3343 Dy
0.2329 0.2500 0.2854 Cd
0.2671 0.7500 0.7854 Cd
0.7329 0.2500 0.2146 Cd
0.7671 0.7500 0.7146 Cd
0.0626 0.7500 0.8372 S
0.0789 0.2500 0.4242 S
0.2299 0.7500 0.1466 S
0.2701 0.2500 0.6466 S
0.4211 0.7500 0.9242 S
0.4374 0.2500 0.3372 S
0.5626 0.7500 0.6628 S
0.5789 0.2500 0.0758 S
0.7299 0.7500 0.3534 S
0.7701 0.2500 0.8534 S
0.9211 0.7500 0.5758 S
0.9374 0.2500 0.1628 S

(7)
PBE BaTaNO, relaxed; polymorph energy (0 for the lowest one) = 383 meV/atom
1.0
4.1486 0.0000 0.0000
0.0000 4.1486 0.0000
0.0000 0.0000 10.0449
Ba Ta N O
2 2 2 2
direct
0.2500 0.2500 0.1351 Ba
0.7500 0.7500 0.8649 Ba
0.2500 0.7500 0.5000 Ta
0.7500 0.2500 0.5000 Ta
0.2500 0.2500 0.5398 N
0.7500 0.7500 0.4602 N
0.2500 0.7500 0.0000 O
0.7500 0.2500 0.0000 O

(8)
PBE LuInAgPd, relaxed; polymorph energy (0 for the lowest one) = 0 meV/atom
1.0
0.0000 3.4009 3.4009
3.4009 0.0000 3.4009
3.4009 3.4009 0.0000
Lu In Ag Pd
1 1 1 1
direct
0.0000 0.0000 0.0000 Lu
0.5000 0.5000 0.5000 In
0.2500 0.2500 0.2500 Ag
0.7500 0.7500 0.7500 Pd

(9)
PBE Cs2NiP2S6, relaxed; total energy = -50.12 eV per formula unit
1.0
5.9470 0.0000 0.0000
0.0000 12.8427 0.0000
-5.4585 0.0000 7.7581
Cs Ni P S
4 2 4 12
direct
0.2047 0.1719 0.4695 Cs
0.2047 0.3281 0.9695 Cs
0.7953 0.6719 0.0305 Cs
0.7953 0.8281 0.5305 Cs
0.5000 0.0000 0.0000 Ni
0.5000 0.5000 0.5000 Ni
0.1681 0.5384 0.6198 P
0.1681 0.9616 0.1198 P
0.8319 0.0384 0.8802 P
0.8319 0.4616 0.3802 P
0.0237 0.0741 0.7665 S
0.0237 0.4259 0.2665 S
0.2966 0.6556 0.5377 S
0.2966 0.8444 0.0377 S
0.4778 0.0677 0.2343 S
0.4778 0.4323 0.7343 S
0.5222 0.5677 0.2657 S
0.5222 0.9323 0.7657 S
0.7034 0.1556 0.9623 S
0.7034 0.3444 0.4623 S
0.9763 0.5741 0.7335 S
0.9763 0.9259 0.2335 S

(10)
PBE GdGeSO, relaxed; polymorph energy (0 for the lowest one) = 275 meV/atom
1.0
2.3163 1.3373 9.3152
-2.3163 1.3373 9.3152
0.0000 -2.6747 9.3152
Gd Ge S O
2 2 2 2
direct
0.2250 0.2250 0.2250 Gd
0.7750 0.7750 0.7750 Gd
0.3695 0.3695 0.3695 Ge
0.6305 0.6305 0.6305 Ge
0.1226 0.1226 0.1226 S
0.8774 0.8774 0.8774 S
0.3045 0.3045 0.3045 O
0.6955 0.6955 0.6955 O

(11)
PBE RbInTc, relaxed; polymorph energy (0 for the lowest one) = 0 meV/atom
1.0
0.0000 3.6214 3.6214
3.6214 0.0000 3.6214
3.6214 3.6214 0.0000
Rb In Tc
1 1 1
direct
0.0000 0.0000 0.0000 Rb
0.5000 0.5000 0.5000 In
0.7500 0.7500 0.7500 Tc

(12)
PBE NdSmSe2, relaxed; total energy = -23.75 eV per formula unit
1.0
4.1944 0.0000 0.0000
0.0000 4.1944 0.0000
0.0000 0.0000 5.9354
Nd Sm Se
1 1 2
direct
0.0000 0.0000 0.0000 Nd
0.5000 0.5000 0.5000 Sm
0.0000 0.0000 0.5000 Se
0.5000 0.5000 0.0000 Se

no.,magnetic moment (μB per formula unit)
1,1.59
2,0.00
3,0.00
4,0.13
5,1.49
6,0.00
7,0.00
8,0.00
9,2.00
10,0.00
11,2.69
12,0.01